{"formula": "Al2CuIr", "functional": "PBE", "state": "relaxed", "lattice_angstrom": [[4.801, 0.002, 0.000], [-2.079, 4.327, 0.000], [0.000, 0.000, 5.252]], "species": ["Al", "Al", "Al", "Al", "Cu", "Cu", "Ir", "Ir"], "frac_coords": [[0.750, 0.250, 0.500], [0.250, 0.750, 0.500], [0.750, 0.750, 0.172], [0.250, 0.250, 0.828], [0.750, 0.250, 0.000], [0.250, 0.750, 0.000], [0.250, 0.250, 0.320], [0.750, 0.750, 0.680]], "total_energy_ev_per_cell": -46.2, "spacegroup": "Cmme (67)", "delta_e_f_ev_per_atom": -0.67, "crystal_system": "orthorhombic"}